1.
The following is a DFT calculation (PBE) of a geometry-optimized Pr3ReO6 structure.

Cell and atoms, written as CIF:
```
data_Pr3ReO6
_chemical_formula_sum 'Pr6 Re2 O12'
_space_group_name_H-M_alt 'P 1'
_space_group_IT_number 1
_space_group_name_Hall 'P 1'
_cell_length_a 7.612
_cell_length_b 7.612
_cell_length_c 5.794
_cell_angle_alpha 90.00
_cell_angle_beta 90.00
_cell_angle_gamma 104.26
loop_
_atom_site_label
_atom_site_type_symbol
_atom_site_fract_x
_atom_site_fract_y
_atom_site_fract_z
Pr1 Pr 0.097 0.903 0.500
Pr2 Pr 0.196 0.405 0.530
Pr3 Pr 0.405 0.196 0.030
Pr4 Pr 0.595 0.804 0.530
Pr5 Pr 0.804 0.595 0.030
Pr6 Pr 0.903 0.097 0.000
Re1 Re 0.286 0.714 0.052
Re2 Re 0.714 0.286 0.552
O1 O 0.083 0.568 0.229
O2 O 0.148 0.164 0.266
O3 O 0.164 0.148 0.766
O4 O 0.278 0.722 0.737
O5 O 0.429 0.571 0.278
O6 O 0.432 0.917 0.229
O7 O 0.568 0.083 0.729
O8 O 0.571 0.429 0.778
O9 O 0.722 0.278 0.237
O10 O 0.836 0.852 0.266
O11 O 0.852 0.836 0.766
O12 O 0.917 0.432 0.729
```


2.
The following is a DFT calculation (PBE) of a geometry-optimized Pr2ReO6 structure.

Cell and atoms, written as CIF:
```
data_Pr2ReO6
_chemical_formula_sum 'Pr4 Re2 O12'
_space_group_name_H-M_alt 'P 1'
_space_group_IT_number 1
_space_group_name_Hall 'P 1'
_cell_length_a 5.579
_cell_length_b 6.199
_cell_length_c 9.073
_cell_angle_alpha 90.00
_cell_angle_beta 121.59
_cell_angle_gamma 90.00
loop_
_atom_site_label
_atom_site_type_symbol
_atom_site_fract_x
_atom_site_fract_y
_atom_site_fract_z
Pr1 Pr 0.210 0.090 0.247
Pr2 Pr 0.210 0.410 0.747
Pr3 Pr 0.790 0.590 0.253
Pr4 Pr 0.790 0.910 0.753
Re1 Re 0.500 0.000 0.000
Re2 Re 0.500 0.500 0.500
O1 O 0.155 0.154 0.949
O2 O 0.155 0.346 0.449
O3 O 0.293 0.733 0.925
O4 O 0.293 0.767 0.425
O5 O 0.409 0.057 0.767
O6 O 0.409 0.443 0.267
O7 O 0.591 0.557 0.733
O8 O 0.591 0.943 0.233
O9 O 0.707 0.233 0.575
O10 O 0.707 0.267 0.075
O11 O 0.845 0.654 0.551
O12 O 0.845 0.846 0.051
```


3.
The following is a DFT calculation (PBE) of a geometry-optimized PrRe2O8 structure.

Cell and atoms, written as CIF:
```
data_PrRe2O8
_chemical_formula_sum 'Pr1 Re2 O8'
_space_group_name_H-M_alt 'P 1'
_space_group_IT_number 1
_space_group_name_Hall 'P 1'
_cell_length_a 6.117
_cell_length_b 6.117
_cell_length_c 6.175
_cell_angle_alpha 105.89
_cell_angle_beta 105.89
_cell_angle_gamma 55.15
loop_
_atom_site_label
_atom_site_type_symbol
_atom_site_fract_x
_atom_site_fract_y
_atom_site_fract_z
Pr1 Pr 0.000 0.000 0.000
Re1 Re 0.202 0.202 0.688
Re2 Re 0.798 0.798 0.312
O1 O 0.103 0.639 0.201
O2 O 0.153 0.153 0.381
O3 O 0.361 0.897 0.799
O4 O 0.372 0.372 0.803
O5 O 0.628 0.628 0.197
O6 O 0.639 0.103 0.201
O7 O 0.847 0.847 0.619
O8 O 0.897 0.361 0.799
```

Computed properties:
Distance to the lowest polymorph of the same formula in eV per atom: 0.1305


4.
The following is a DFT calculation (PBE) of a geometry-optimized Pr3Re2O10 structure.

Cell and atoms, written as CIF:
```
data_Pr3Re2O10
_chemical_formula_sum 'Pr3 Re2 O10'
_space_group_name_H-M_alt 'P 1'
_space_group_IT_number 1
_space_group_name_Hall 'P 1'
_cell_length_a 5.544
_cell_length_b 5.544
_cell_length_c 7.212
_cell_angle_alpha 107.32
_cell_angle_beta 107.32
_cell_angle_gamma 89.34
loop_
_atom_site_label
_atom_site_type_symbol
_atom_site_fract_x
_atom_site_fract_y
_atom_site_fract_z
Pr1 Pr 0.000 0.000 0.000
Pr2 Pr 0.255 0.745 0.500
Pr3 Pr 0.745 0.255 0.500
Re1 Re 0.367 0.367 0.825
Re2 Re 0.633 0.633 0.175
O1 O 0.094 0.094 0.718
O2 O 0.127 0.607 0.786
O3 O 0.332 0.332 0.530
O4 O 0.349 0.349 0.091
O5 O 0.393 0.873 0.214
O6 O 0.607 0.127 0.786
O7 O 0.651 0.651 0.909
O8 O 0.668 0.668 0.470
O9 O 0.873 0.393 0.214
O10 O 0.906 0.906 0.282
```


So what do the calculations give for final energy? Going down the list: -81.97, -74.86, -90.00, -126.52 eV per formula unit.
So what do the calculations give for formation energy (no corrections)? Going down the list: -2.544, -2.567, -1.878, -2.514 eV/atom.